{"formula": "CeTh2As3Rh4", "functional": "PBE", "state": "relaxed", "total_magnetization_mub_per_fu": 0.5, "dos_ef_per_ev_atom": 0.95, "ef_ev_per_atom": -0.935, "lattice_angstrom": [[4.213, 0.000, 0.000], [0.000, 4.213, 0.000], [0.000, 0.000, 11.214]], "species": ["Rh", "Th", "Rh", "Ce", "As", "As", "Th", "Rh", "As", "Rh"], "frac_coords": [[0.500, 0.000, 0.656], [0.000, 0.500, 0.781], [0.000, 0.500, 0.344], [0.500, 0.500, 0.500], [0.000, 0.500, 0.128], [0.500, 0.000, 0.872], [0.500, 0.000, 0.219], [0.000, 0.000, 0.000], [0.000, 0.000, 0.500], [0.500, 0.500, 0.000]]}

{"formula": "Ce2ThAs2Rh7", "functional": "PBE", "state": "relaxed", "total_magnetization_mub_per_fu": 0.0, "dos_ef_per_ev_atom": 0.74, "ef_ev_per_atom": -0.825, "lattice_angstrom": [[-0.637, -0.353, -4.056], [4.044, -0.407, -0.675], [-0.646, -13.068, 0.688]], "species": ["Ce", "As", "Ce", "Rh", "Rh", "Rh", "Th", "Rh", "As", "Rh", "Rh", "Rh"], "frac_coords": [[0.955, 0.955, 0.353], [0.533, 0.533, 0.735], [0.045, 0.045, 0.647], [0.521, 0.020, 0.836], [0.312, 0.312, 0.447], [0.980, 0.479, 0.164], [0.000, 0.000, 0.000], [0.688, 0.688, 0.553], [0.467, 0.467, 0.265], [0.500, 0.500, 0.000], [0.020, 0.521, 0.836], [0.479, 0.980, 0.164]]}

{"formula": "CeTiAs2Rh5", "functional": "PBE", "state": "relaxed", "total_magnetization_mub_per_fu": 0.8, "dos_ef_per_ev_atom": 1.09, "ef_ev_per_atom": -0.565, "lattice_angstrom": [[-0.532, -3.509, -1.941], [2.104, -1.911, 2.879], [-8.917, -1.647, 5.424]], "species": ["Rh", "Rh", "As", "Rh", "Rh", "Rh", "Ce", "Ti", "As"], "frac_coords": [[0.000, 0.500, 0.850], [0.000, 0.500, 0.150], [0.500, 0.500, 0.273], [0.500, 0.000, 0.850], [0.500, 0.500, 0.500], [0.500, 0.000, 0.150], [0.000, 0.000, 0.500], [0.000, 0.000, 0.000], [0.500, 0.500, 0.727]]}

{"formula": "CeTlAs2Rh5", "functional": "PBE", "state": "relaxed", "total_magnetization_mub_per_fu": 0.8, "dos_ef_per_ev_atom": 1.08, "ef_ev_per_atom": -0.340, "lattice_angstrom": [[4.069, 0.000, 0.000], [0.000, 4.069, 0.000], [0.000, 0.000, 11.005]], "species": ["As", "Rh", "Tl", "As", "Rh", "Ce", "Rh", "Rh", "Rh"], "frac_coords": [[0.500, 0.500, 0.284], [0.000, 0.500, 0.173], [0.000, 0.000, 0.000], [0.500, 0.500, 0.716], [0.500, 0.000, 0.173], [0.000, 0.000, 0.500], [0.500, 0.500, 0.500], [0.500, 0.000, 0.827], [0.000, 0.500, 0.827]]}

{"formula": "Ce2TmAs3Rh4", "functional": "PBE", "state": "relaxed", "total_magnetization_mub_per_fu": 1.2, "dos_ef_per_ev_atom": 1.20, "ef_ev_per_atom": -0.966, "lattice_angstrom": [[-4.030, -0.147, -0.697], [-0.513, -2.179, 3.426], [-1.384, 9.692, 5.957]], "species": ["Rh", "Rh", "As", "As", "Ce", "Rh", "Rh", "As", "Tm", "Ce"], "frac_coords": [[0.500, 0.500, 0.000], [0.000, 0.000, 0.000], [0.000, 0.500, 0.128], [0.000, 0.000, 0.500], [0.000, 0.500, 0.773], [0.500, 0.000, 0.660], [0.000, 0.500, 0.340], [0.500, 0.000, 0.872], [0.500, 0.500, 0.500], [0.500, 0.000, 0.227]]}

{"formula": "Ce2TmAs2Rh7", "functional": "PBE", "state": "relaxed", "total_magnetization_mub_per_fu": 0.0, "dos_ef_per_ev_atom": 0.64, "ef_ev_per_atom": -0.785, "lattice_angstrom": [[4.061, 0.001, 0.001], [0.006, 4.061, 0.001], [1.973, 1.970, 12.967]], "species": ["Rh", "Rh", "As", "Tm", "Ce", "Rh", "Rh", "Ce", "As", "Rh", "Rh", "Rh"], "frac_coords": [[0.578, 0.078, 0.841], [0.922, 0.422, 0.159], [0.372, 0.372, 0.264], [0.000, 0.000, 0.000], [0.165, 0.165, 0.655], [0.078, 0.578, 0.841], [0.286, 0.286, 0.457], [0.835, 0.835, 0.345], [0.628, 0.628, 0.736], [0.714, 0.714, 0.543], [0.500, 0.500, 0.000], [0.422, 0.922, 0.159]]}

{"formula": "Ce2TmAs4Rh3", "functional": "PBE", "state": "relaxed", "total_magnetization_mub_per_fu": 1.1, "dos_ef_per_ev_atom": 1.36, "ef_ev_per_atom": -0.961, "lattice_angstrom": [[-0.104, -1.097, -4.188], [-3.822, -1.943, 0.604], [-5.021, 9.168, -2.277]], "species": ["Tm", "As", "As", "Ce", "As", "Rh", "Rh", "Rh", "Ce", "As"], "frac_coords": [[0.500, 0.500, 0.500], [0.000, 0.500, 0.340], [0.500, 0.500, 0.000], [0.500, 0.000, 0.223], [0.500, 0.000, 0.660], [0.000, 0.000, 0.500], [0.000, 0.500, 0.109], [0.500, 0.000, 0.891], [0.000, 0.500, 0.777], [0.000, 0.000, 0.000]]}

{"formula": "CeVAs2Rh5", "functional": "PBE", "state": "relaxed", "total_magnetization_mub_per_fu": 0.9, "dos_ef_per_ev_atom": 1.01, "ef_ev_per_atom": -0.472, "lattice_angstrom": [[3.992, 0.000, 0.000], [0.000, 3.992, 0.000], [0.000, 0.000, 10.615]], "species": ["Rh", "V", "Rh", "Rh", "As", "Rh", "Rh", "As", "Ce"], "frac_coords": [[0.000, 0.500, 0.857], [0.000, 0.000, 0.000], [0.500, 0.000, 0.143], [0.500, 0.000, 0.857], [0.500, 0.500, 0.727], [0.000, 0.500, 0.143], [0.500, 0.500, 0.500], [0.500, 0.500, 0.273], [0.000, 0.000, 0.500]]}

{"formula": "Ce2YAs2Rh7", "functional": "PBE", "state": "relaxed", "total_magnetization_mub_per_fu": 0.1, "dos_ef_per_ev_atom": 0.66, "ef_ev_per_atom": -0.755, "lattice_angstrom": [[-3.083, -1.729, 2.041], [2.464, -0.648, 3.189], [-3.561, 10.419, 7.399]], "species": ["Rh", "As", "Rh", "Ce", "Rh", "Rh", "As", "Ce", "Rh", "Rh", "Y", "Rh"], "frac_coords": [[0.922, 0.421, 0.162], [0.372, 0.372, 0.265], [0.286, 0.286, 0.459], [0.836, 0.836, 0.346], [0.421, 0.922, 0.162], [0.078, 0.579, 0.838], [0.628, 0.628, 0.735], [0.164, 0.164, 0.654], [0.714, 0.714, 0.541], [0.500, 0.500, 0.000], [0.000, 0.000, 0.000], [0.579, 0.078, 0.838]]}

{"formula": "Ce2ZnAs4Rh3", "functional": "PBE", "state": "relaxed", "total_magnetization_mub_per_fu": 1.0, "dos_ef_per_ev_atom": 1.10, "ef_ev_per_atom": -0.825, "lattice_angstrom": [[4.322, 0.000, 0.000], [0.000, 4.322, 0.000], [0.000, 0.000, 10.013]], "species": ["Ce", "As", "As", "Rh", "Zn", "As", "Ce", "Rh", "As", "Rh"], "frac_coords": [[0.000, 0.500, 0.758], [0.000, 0.000, 0.000], [0.000, 0.500, 0.361], [0.500, 0.000, 0.882], [0.500, 0.500, 0.500], [0.500, 0.500, 0.000], [0.500, 0.000, 0.242], [0.000, 0.500, 0.118], [0.500, 0.000, 0.639], [0.000, 0.000, 0.500]]}

{"formula": "Ce2ZnAs3Rh4", "functional": "PBE", "state": "relaxed", "total_magnetization_mub_per_fu": 0.4, "dos_ef_per_ev_atom": 0.95, "ef_ev_per_atom": -0.877, "lattice_angstrom": [[-1.258, -2.506, -3.034], [2.910, -2.737, 1.053], [-6.766, -4.640, 6.638]], "species": ["Rh", "Rh", "Ce", "Rh", "As", "As", "Zn", "Ce", "Rh", "As"], "frac_coords": [[0.500, 0.500, 0.000], [0.000, 0.500, 0.362], [0.000, 0.500, 0.747], [0.500, 0.000, 0.638], [0.000, 0.500, 0.135], [0.500, 0.000, 0.865], [0.500, 0.500, 0.500], [0.500, 0.000, 0.253], [0.000, 0.000, 0.000], [0.000, 0.000, 0.500]]}

{"formula": "Ce2ZrAs4Rh3", "functional": "PBE", "state": "relaxed", "total_magnetization_mub_per_fu": 1.5, "dos_ef_per_ev_atom": 1.29, "ef_ev_per_atom": -0.944, "lattice_angstrom": [[4.332, 0.000, 0.000], [0.000, 4.332, 0.000], [0.000, 0.000, 10.440]], "species": ["Zr", "Rh", "Ce", "As", "As", "Rh", "As", "Rh", "As", "Ce"], "frac_coords": [[0.500, 0.500, 0.500], [0.000, 0.000, 0.500], [0.000, 0.500, 0.773], [0.500, 0.500, 0.000], [0.500, 0.000, 0.651], [0.500, 0.000, 0.888], [0.000, 0.000, 0.000], [0.000, 0.500, 0.112], [0.000, 0.500, 0.349], [0.500, 0.000, 0.227]]}